1.
A relaxed structure of Cs2TlAu2Br6, computed with GGA-PBE.

energy relative to the elements, uncorrected: -0.8186 eV per atom
calculated volume: 438 Å³/f.u.

a = 15.164 Å, b = 8.131 Å, c = 8.345 Å
α = 90.00°, β = 121.73°, γ = 90.00°
Space group C2/m (No. 12)
Unique sites:
Cs  0.237  0.000  0.216 [4 per cell]
Tl  0.000  0.000  0.500 [2 per cell]
Au  0.066  0.500  0.206 [4 per cell]
Br  0.048  0.259  0.795 [8 per cell]
Br  0.243  0.000  0.682 [4 per cell]


2.
A relaxed structure of LaYFe3, computed with GGA-PBE.

calculated formation energy: 110.07 kJ per mole of atoms
offset from the most stable computed form: 0.048 eV/atom
calculated volume: 108 Å³/f.u.

a = 4.763 Å, b = 4.763 Å, c = 4.763 Å
α = 90.00°, β = 90.00°, γ = 90.00°
Space group Pm-3m (No. 221)
Unique sites:
La  0.000  0.000  0.000 [1 per cell]
Y  0.500  0.500  0.500 [1 per cell]
Fe  0.000  0.000  0.500 [3 per cell]


3.
A relaxed structure of EuTmBi2, computed with GGA-PBE.

calculated formation energy: -62.39 kJ per mole of atoms
offset from the most stable computed form: 0.113 eV/atom
calculated volume: 123 Å³/f.u.

a = 3.807 Å, b = 3.807 Å, c = 8.494 Å
α = 90.00°, β = 90.00°, γ = 90.00°
Space group P4/mmm (No. 123)
Unique sites:
Eu  0.000  0.000  0.000 [1 per cell]
Tm  0.000  0.000  0.500 [1 per cell]
Bi  0.500  0.500  0.268 [2 per cell]


4.
A relaxed structure of KNa2Zn2, computed with GGA-PBE.

calculated formation energy: 9.14 kJ per mole of atoms
offset from the most stable computed form: 0.000 eV/atom
calculated volume: 160 Å³/f.u.

a = 4.885 Å, b = 4.885 Å, c = 13.399 Å
α = 90.00°, β = 90.00°, γ = 90.00°
Space group I4/mmm (No. 139)
Unique sites:
K  0.000  0.000  0.000 [2 per cell]
Na  0.000  0.500  0.250 [4 per cell]
Zn  0.000  0.000  0.405 [4 per cell]


5.
A relaxed structure of LaNd2Ga, computed with GGA-PBE.

calculated formation energy: -21.28 kJ per mole of atoms
offset from the most stable computed form: 0.034 eV/atom
calculated volume: 124 Å³/f.u.

a = 5.444 Å, b = 12.816 Å, c = 7.106 Å
α = 90.00°, β = 90.00°, γ = 90.00°
Space group Cmcm (No. 63)
Unique sites:
La  0.000  0.061  0.250 [4 per cell]
Nd  0.000  0.361  0.025 [8 per cell]
Ga  0.000  0.178  0.750 [4 per cell]


6.
A relaxed structure of TaZnAs2S, computed with GGA-PBE.

energy relative to the elements, uncorrected: 0.7144 eV per atom
calculated volume: 128 Å³/f.u.

a = 4.944 Å, b = 4.944 Å, c = 5.230 Å
α = 90.00°, β = 90.00°, γ = 90.00°
Space group P4/mmm (No. 123)
Unique sites:
Ta  0.000  0.000  0.000 [1 per cell]
Zn  0.000  0.000  0.500 [1 per cell]
As  0.000  0.500  0.000 [2 per cell]
S  0.500  0.500  0.500 [1 per cell]


- Which value of calculated volume does entry 1 give?
  438 Å³/f.u.